1.
The following is a DFT calculation (PBE) of crystalline CdGaHRh2 at its relaxed geometry.

Cell lengths 4.1102, 4.1102, 3.8307 Å; angles 90.00, 90.00, 90.00 degrees
With the nearest neighbours (Å) after each atom.
Space group P4/mmm (No. 123)
Asymmetric unit:
Cd 0.0000 0.0000 0.0000  8 Rh 2.81, 4 Ga 2.91
Ga 0.5000 0.5000 0.0000  2 H 1.92
H 0.5000 0.5000 0.5000  2 Ga 1.92, 4 Rh 2.06
Rh 0.0000 0.5000 0.5000  2 H 2.06

Output
**V**: 12.94 A^3/atom
**Theoretical density**: 9.98 g/cm³
**Polymorph energy (0 for the lowest one)**: 46 meV per atom
**Total energy**: -22.5 eV per cell

=====

2.
The following is a DFT calculation (PBE) of crystalline SiTe2Rh at its relaxed geometry.

Cell lengths 6.9080, 6.9080, 6.9080 Å; angles 90.00, 90.00, 90.00 degrees
With the nearest neighbours (Å) after each atom.
Space group F-43m (No. 216)
Asymmetric unit:
Si 0.0000 0.0000 0.0000  4 Te 2.99, 4 Rh 2.99
Te 0.0000 0.0000 0.5000  4 Te 2.99, 4 Rh 2.99
Te 0.2500 0.2500 0.2500  4 Te 2.99, 4 Si 2.99
Rh 0.2500 0.2500 0.7500  4 Te 2.99, 4 Si 2.99

Output
**Formation energy from raw total energies**: 530 meV per atom
**V**: 20.60 A^3/atom
**Theoretical density**: 7.78 g/cm³
**Total energy**: -67.8 eV per cell

=====

3.
The following is a DFT calculation (PBE) of crystalline CaPdSe at its relaxed geometry.

Cell lengths 5.7782, 5.7796, 8.4685 Å; angles 90.00, 109.88, 90.00 degrees
With the nearest neighbours (Å) after each atom.
Space group Cc (No. 9)
Asymmetric unit:
Ca 0.0000 0.1256 0.0000  6 Se 3.13-3.46, 6 Pd 3.16-3.39
Pd 0.0803 0.3746 0.6615  3 Se 2.49-2.53
Se 0.4249 0.1256 0.8494  3 Pd 2.49-2.53

Output
**Formation energy from raw total energies**: -1129 meV per atom
**V**: 22.16 A^3/atom
**Theoretical density**: 5.63 g/cm³
**Polymorph energy (0 for the lowest one)**: 34 meV per atom
**Total energy**: -56.3 eV per cell

=====

4.
The following is a DFT calculation (PBE) of crystalline Ac7Tl3Rh2 at its relaxed geometry.

Cell lengths 5.7839, 27.4706, 5.6713 Å; angles 90.00, 90.00, 90.00 degrees
With the nearest neighbours (Å) after each atom.
Space group Cmmm (No. 65)
Asymmetric unit:
Ac 0.0000 0.0000 0.0000  2 Rh 2.90
Ac 0.0000 0.0982 0.5000  2 Rh 2.84
Ac 0.0000 0.2113 0.0000  1 Rh 2.91
Ac 0.0000 0.3933 0.0000  2 Rh 2.89
Tl 0.0000 0.2986 0.5000  10 Ac 3.71-4.06, 2 Tl 3.94
Tl 0.0000 0.5000 0.5000  12 Ac 3.95-4.08
Rh 0.0000 0.1055 0.0000  6 Ac 2.84-2.91

Output
**V**: 37.55 A^3/atom
**Theoretical density**: 8.87 g/cm³
**Total energy**: -109.1 eV per cell

=====

no.,Fermi-level density of states (states/eV/f.u.)
1,1.7
2,3.1
3,0.1
4,12.7